A plane-wave DFT calculation with PBE was carried out for crystalline InHg2HS at its relaxed geometry.

The structure in POSCAR format:
```
InHg2HS
1.0
5.178 0.000 0.000
0.000 6.288 0.000
0.000 0.000 5.178
H In S Hg
1 1 1 2
Direct
0.500 0.500 0.500 H
0.000 0.500 0.000 In
0.000 0.000 0.000 S
0.000 0.000 0.500 Hg
0.500 0.000 0.000 Hg
```

Values from the calculation:
The value obtained for the volume is 168.6 Å³ per cell. Its space-group type is P4/mmm. As for the final energy: -1.608 eV/atom.